Sm4BiRh | PBE-GGA | relaxed

Cell lengths 6.1403, 8.5876, 8.3624 Å; angles 114.26, 102.92, 106.24 degrees
Positions (direct):
Sm (0.0435, 0.2024, 0.8579)
Sm (0.7793, 0.7065, 0.6381)
Sm (0.3144, 0.6555, 0.8579)
Sm (0.3588, 0.9316, 0.6381)
Sm (0.6412, 0.0684, 0.3619)
Sm (0.6856, 0.3445, 0.1421)
Sm (0.2207, 0.2935, 0.3619)
Sm (0.9565, 0.7976, 0.1421)
Bi (0.3728, 0.6228, 0.2456)
Bi (0.6272, 0.3772, 0.7544)
Rh (0.2486, 0.9986, 0.9972)
Rh (0.7514, 0.0014, 0.0028)

Properties
The formation energy is -3.240 eV per formula unit. As for the density of states at the Fermi level: 6.410 states/eV/f.u. The volume is 29.7 A^3/atom. The total moment comes out at 0.0 μB per formula unit.